# Y2Sc4Si3O2

A relaxed Y2Sc4Si3O2 crystal (PBE-GGA, Alexandria via LeMat-Bulk).

It has space group I4/mmm (No. 139), with a = 4.2571 Å, b = 4.2571 Å, c = 22.7796 Å, α = 90.00°, β = 90.00° and γ = 90.00°. Symmetry generates all atoms from Y at (0.0000, 0.0000, 0.1957), Sc at (0.0000, 0.5000, 0.0786), Si at (0.0000, 0.0000, 0.3291), Si at (0.0000, 0.0000, 0.5000) and O at (0.0000, 0.0000, 0.0895).

The calculation puts the calculated density at 3.81 g cm⁻³. Its calculated total energy is -7.45 eV per atom.